## MnNbCoHSe (PBE)

Data for crystalline MnNbCoHSe at its relaxed geometry. Values from VASP.

## Properties
**ΔE to the lowest computed polymorph**: 0.201 eV per formula unit
**SG**: Imm2, No. 44

Geometry as Quantum ESPRESSO input:
```
&SYSTEM
  ibrav = 0, nat = 5, ntyp = 5
/
ATOMIC_SPECIES
Mn 54.94 Mn.upf
Nb 92.91 Nb.upf
Co 58.93 Co.upf
H 1.01 H.upf
Se 78.96 Se.upf
CELL_PARAMETERS angstrom
-1.569 1.647 6.544
1.569 -1.647 6.544
1.569 1.647 -6.544
ATOMIC_POSITIONS angstrom
Mn 0.000 0.000 0.000
Nb 0.000 0.000 4.834
Co 0.000 0.000 7.588
H 1.569 0.000 1.183
Se 0.000 0.000 9.978
```

***

## PdAu (PBE)

Data for crystalline PdAu at its relaxed geometry. Values from VASP.

## Properties
**E_tot**: -3.3155 eV per atom
**SG**: Pm-3n, No. 223

Geometry as Quantum ESPRESSO input:
```
&SYSTEM
  ibrav = 0, nat = 12, ntyp = 2
/
ATOMIC_SPECIES
Pd 106.42 Pd.upf
Au 196.97 Au.upf
CELL_PARAMETERS angstrom
7.344 0.000 0.000
0.000 7.344 0.000
0.000 0.000 7.344
ATOMIC_POSITIONS angstrom
Pd 0.000 1.836 3.672
Pd 0.000 5.508 3.672
Pd 1.836 3.672 0.000
Pd 3.672 0.000 1.836
Pd 3.672 0.000 5.508
Pd 5.508 3.672 0.000
Au 0.000 3.672 1.836
Au 0.000 3.672 5.508
Au 1.836 0.000 3.672
Au 3.672 1.836 0.000
Au 3.672 5.508 0.000
Au 5.508 0.000 3.672
```

***

## Cu2H3Br6 (PBE)

Data for crystalline Cu2H3Br6 at its relaxed geometry. Values from VASP.

## Properties
**E_tot**: -2.8173 eV per atom
**SG**: C2/c, No. 15

Geometry as Quantum ESPRESSO input:
```
&SYSTEM
  ibrav = 0, nat = 22, ntyp = 3
/
ATOMIC_SPECIES
Cu 63.55 Cu.upf
H 1.01 H.upf
Br 79.90 Br.upf
CELL_PARAMETERS angstrom
6.396 -3.876 0.000
6.396 3.876 0.000
-3.601 0.000 13.660
ATOMIC_POSITIONS angstrom
Cu 2.417 2.048 7.515
Cu 4.974 2.048 12.976
Cu 4.217 -2.048 0.684
Cu 6.775 -2.048 6.146
H 3.695 2.611 10.245
H 3.678 1.154 3.025
H 1.877 -1.154 9.856
H 7.314 1.154 3.805
H 5.514 -1.154 10.635
H 5.496 -2.611 3.415
Br 3.017 2.597 11.822
Br 2.499 1.165 5.311
Br 4.374 2.597 8.668
Br 4.141 1.094 1.657
Br 0.698 -1.165 12.141
Br 2.340 -1.094 8.487
Br 6.852 1.094 5.173
Br 8.493 1.165 1.519
Br 5.051 -1.094 12.003
Br 4.818 -2.597 4.992
Br 6.693 -1.165 8.349
Br 6.175 -2.597 1.838
```

***

## KTaH (PBE)

Data for crystalline KTaH at its relaxed geometry. Values from VASP.

## Properties
**ΔE to the lowest computed polymorph**: 0.179 eV per formula unit
**SG**: P1, No. 1

Geometry as Quantum ESPRESSO input:
```
&SYSTEM
  ibrav = 0, nat = 6, ntyp = 3
/
ATOMIC_SPECIES
K 39.10 K.upf
Ta 180.95 Ta.upf
H 1.01 H.upf
CELL_PARAMETERS angstrom
3.099 0.000 0.000
-0.976 2.942 0.000
-0.797 -1.301 12.393
ATOMIC_POSITIONS angstrom
K 0.000 0.000 0.000
K -0.882 0.635 8.401
Ta 1.001 0.182 5.217
Ta 2.074 1.645 3.183
H 0.534 1.721 1.846
H 0.583 1.687 6.555
```

***

## Ho3Zn2Ga (PBE)

Data for crystalline Ho3Zn2Ga at its relaxed geometry. Values from VASP.

## Properties
**ΔE to the lowest computed polymorph**: 0.028 eV per formula unit
**SG**: P4/mmm, No. 123

Geometry as Quantum ESPRESSO input:
```
&SYSTEM
  ibrav = 0, nat = 6, ntyp = 3
/
ATOMIC_SPECIES
Ho 164.93 Ho.upf
Zn 65.41 Zn.upf
Ga 69.72 Ga.upf
CELL_PARAMETERS angstrom
3.549 0.000 0.000
0.000 3.549 0.000
0.000 0.000 10.689
ATOMIC_POSITIONS angstrom
Ho 0.000 0.000 0.000
Ho 0.000 0.000 3.549
Ho 0.000 0.000 7.139
Zn 1.775 1.775 1.743
Zn 1.775 1.775 8.946
Ga 1.775 1.775 5.344
```

***

## ZnCd2ICl (PBE)

Data for crystalline ZnCd2ICl at its relaxed geometry. Values from VASP.

## Properties
**SG**: P4/mmm, No. 123
**Formation energy from raw total energies**: 278 meV per atom

Geometry as Quantum ESPRESSO input:
```
&SYSTEM
  ibrav = 0, nat = 5, ntyp = 4
/
ATOMIC_SPECIES
Zn 65.41 Zn.upf
Cd 112.41 Cd.upf
I 126.90 I.upf
Cl 35.45 Cl.upf
CELL_PARAMETERS angstrom
6.181 0.000 0.000
0.000 6.181 0.000
0.000 0.000 5.573
ATOMIC_POSITIONS angstrom
Zn 0.000 0.000 0.000
Cd 0.000 3.090 2.787
Cd 3.090 0.000 2.787
I 0.000 0.000 2.787
Cl 3.090 3.090 0.000
```

***

## Ta2BiAsPt (PBE)

Data for crystalline Ta2BiAsPt at its relaxed geometry. Values from VASP.

## Properties
**E_tot**: -6.5219 eV per atom
**SG**: P4/mmm, No. 123

Geometry as Quantum ESPRESSO input:
```
&SYSTEM
  ibrav = 0, nat = 5, ntyp = 4
/
ATOMIC_SPECIES
Ta 180.95 Ta.upf
Bi 208.98 Bi.upf
As 74.92 As.upf
Pt 195.08 Pt.upf
CELL_PARAMETERS angstrom
4.727 0.000 0.000
0.000 4.727 0.000
0.000 0.000 5.349
ATOMIC_POSITIONS angstrom
Ta 0.000 2.364 0.000
Ta 2.364 0.000 0.000
Bi 0.000 0.000 2.674
As 0.000 0.000 0.000
Pt 2.364 2.364 2.674
```

***

## TcPdBr (PBE)

Data for crystalline TcPdBr at its relaxed geometry. Values from VASP.

## Properties
**ΔE to the lowest computed polymorph**: 0.093 eV per formula unit
**SG**: C2/m, No. 12
**Formation energy from raw total energies**: 81 meV per atom

Geometry as Quantum ESPRESSO input:
```
&SYSTEM
  ibrav = 0, nat = 6, ntyp = 3
/
ATOMIC_SPECIES
Tc 98.00 Tc.upf
Pd 106.42 Pd.upf
Br 79.90 Br.upf
CELL_PARAMETERS angstrom
9.220 -1.930 0.000
9.220 1.930 0.000
-0.526 0.000 3.818
ATOMIC_POSITIONS angstrom
Tc 0.571 0.000 1.175
Tc 17.343 0.000 2.642
Pd 7.885 0.000 0.617
Pd 10.030 0.000 3.201
Br 2.668 0.000 2.679
Br 15.247 0.000 1.138
```